First-principles (PBE) data for a relaxed PuCuPb crystal, as listed in Alexandria via LeMat-Bulk.

a b c (Å): 3.367 3.367 6.545
angles (deg): 104.90 104.90 90.00
Last column: magnetic moment on the atom in μB.
Sites, in units of the cell vectors:
1 Pu 0.019 0.019 0.039  5.41
2 Pb 0.312 0.312 0.624  -0.01
3 Cu 0.669 0.669 0.338  0.03

Values from the calculation:
spin magnetization	5.690	μB per formula unit
density of states at the Fermi level	8.90	states/eV/f.u.
volume	69.10	Å³/f.u.
space-group type	I4mm
ΔE_f	0.097	eV/atom
raw total energy	-7.281	eV/atom
ρ	12.37	g cm⁻³
crystal system	tetragonal

=====

First-principles (PBE) data for a relaxed Li3AgW crystal, as listed in Alexandria via LeMat-Bulk.

a b c (Å): 4.696 4.696 4.696
angles (deg): 90.00 90.00 90.00
Last column: magnetic moment on the atom in μB.
Sites, in units of the cell vectors:
1 Li 0.500 0.000 0.000  -0.01
2 W 0.500 0.500 0.500  3.05
3 Li 0.000 0.000 0.500  0.00
4 Li 0.000 0.500 0.000  0.00
5 Ag 0.000 0.000 0.000  0.01

Values from the calculation:
ΔE to the lowest computed polymorph	0.00	kJ/mol of atoms
spin magnetization	4.163	μB per formula unit
density of states at the Fermi level	2.73	states/eV/f.u.
volume	103.55	Å³/f.u.
space-group type	Pm-3m
ΔE_f	1.186	eV/atom
raw total energy	-3.123	eV/atom
ρ	5.01	g cm⁻³
crystal system	cubic

=====

First-principles (PBE) data for a relaxed LiUZn17 crystal, as listed in Alexandria via LeMat-Bulk.

a b c (Å): 6.786 6.786 6.786
angles (deg): 82.47 82.47 82.47
Last column: magnetic moment on the atom in μB.
Sites, in units of the cell vectors:
1 Zn 0.991 0.507 0.991  0.00
2 Zn 0.004 0.696 0.299  0.01
3 Zn 0.507 0.991 0.991  0.00
4 Zn 0.105 0.105 0.105  0.00
5 Zn 0.299 0.004 0.696  0.01
6 Zn 0.696 0.299 0.004  0.01
7 U 0.662 0.662 0.662  2.48
8 Zn 0.644 0.644 0.168  0.00
9 Li 0.343 0.343 0.343  0.00
10 Zn 0.004 0.299 0.696  0.01
11 Zn 0.991 0.991 0.507  0.00
12 Zn 0.901 0.901 0.901  0.00
13 Zn 0.644 0.168 0.644  0.00
14 Zn 0.299 0.696 0.004  0.01
15 Zn 0.696 0.004 0.299  0.01
16 Zn 0.351 0.846 0.351  0.00
17 Zn 0.846 0.351 0.351  0.00
18 Zn 0.351 0.351 0.846  0.00
19 Zn 0.168 0.644 0.644  0.00

Values from the calculation:
spin magnetization	2.808	μB per formula unit
density of states at the Fermi level	11.01	states/eV/f.u.
volume	305.07	Å³/f.u.
space-group type	R3m
ΔE_f	-0.046	eV/atom
raw total energy	-1.880	eV/atom
ρ	7.39	g cm⁻³
crystal system	trigonal

=====

First-principles (PBE) data for a relaxed La4CdRh crystal, as listed in Alexandria via LeMat-Bulk.

a b c (Å): 6.319 6.319 6.319
angles (deg): 60.00 60.00 60.00
Sites, in units of the cell vectors:
1 Rh 0.750 0.750 0.750
2 La 0.871 0.376 0.376
3 La 0.376 0.376 0.871
4 La 0.376 0.871 0.376
5 La 0.376 0.376 0.376
6 Cd 0.000 0.000 0.000

Values from the calculation:
ΔE to the lowest computed polymorph	84.88	kJ/mol of atoms
spin magnetization	0.007	μB per formula unit
density of states at the Fermi level	12.89	states/eV/f.u.
volume	178.41	Å³/f.u.
space-group type	F-43m
ΔE_f	0.435	eV/atom
raw total energy	-4.228	eV/atom
ρ	7.18	g cm⁻³
crystal system	cubic

=====

First-principles (PBE) data for a relaxed YNbTeMo2 crystal, as listed in Alexandria via LeMat-Bulk.

a b c (Å): 4.738 5.637 4.738
angles (deg): 90.00 90.00 90.00
Sites, in units of the cell vectors:
1 Y 0.000 0.500 0.000
2 Te 0.500 0.500 0.500
3 Mo 0.000 0.000 0.500
4 Nb 0.000 0.000 0.000
5 Mo 0.500 0.000 0.000

Values from the calculation:
spin magnetization	0.000	μB per formula unit
density of states at the Fermi level	5.19	states/eV/f.u.
volume	126.54	Å³/f.u.
space-group type	P4/mmm
raw total energy	-7.156	eV/atom
ρ	6.58	g cm⁻³
crystal system	tetragonal
raw formation energy	1.11	eV per atom

=====

First-principles (PBE) data for a relaxed Dy8Tm2Sc crystal, as listed in Alexandria via LeMat-Bulk.

a b c (Å): 5.570 9.902 9.902
angles (deg): 40.40 92.37 92.37
Sites, in units of the cell vectors:
1 Dy 0.768 0.815 0.815
2 Dy 0.766 0.454 0.454
3 Dy 0.263 0.135 0.606
4 Tm 0.255 0.717 0.717
5 Dy 0.232 0.185 0.185
6 Dy 0.737 0.865 0.394
7 Dy 0.737 0.394 0.865
8 Tm 0.745 0.283 0.283
9 Dy 0.263 0.606 0.135
10 Sc 0.000 0.000 0.000
11 Dy 0.234 0.546 0.546

Values from the calculation:
ΔE to the lowest computed polymorph	6.87	kJ/mol of atoms
spin magnetization	0.001	μB per formula unit
density of states at the Fermi level	18.35	states/eV/f.u.
volume	353.59	Å³/f.u.
space-group type	C2/m
ΔE_f	0.188	eV/atom
raw total energy	-4.548	eV/atom
ρ	7.90	g cm⁻³
crystal system	monoclinic

=====

First-principles (PBE) data for a relaxed TaAsSe2S crystal, as listed in Alexandria via LeMat-Bulk.

a b c (Å): 4.890 4.890 5.209
angles (deg): 90.00 90.00 90.00
Sites, in units of the cell vectors:
1 Ta 0.000 0.000 0.000
2 Se 0.000 0.500 0.000
3 As 0.000 0.000 0.500
4 S 0.500 0.500 0.500
5 Se 0.500 0.000 0.000

Values from the calculation:
ΔE to the lowest computed polymorph	0.00	kJ/mol of atoms
spin magnetization	0.000	μB per formula unit
density of states at the Fermi level	4.98	states/eV/f.u.
volume	124.53	Å³/f.u.
space-group type	P4/mmm
raw total energy	-5.130	eV/atom
ρ	5.95	g cm⁻³
crystal system	tetragonal
raw formation energy	0.39	eV per atom

=====

First-principles (PBE) data for a relaxed YCr2Mo crystal, as listed in Alexandria via LeMat-Bulk.

a b c (Å): 4.490 4.490 8.889
angles (deg): 75.37 75.37 90.00
Sites, in units of the cell vectors:
1 Cr 0.375 0.125 0.750
2 Cr 0.875 0.625 0.250
3 Cr 0.875 0.125 0.250
4 Mo 0.750 0.250 0.500
5 Mo 0.000 0.000 0.000
6 Y 0.500 0.500 0.000
7 Y 0.250 0.750 0.500
8 Cr 0.875 0.125 0.750

Values from the calculation:
ΔE to the lowest computed polymorph	58.75	kJ/mol of atoms
spin magnetization	0.012	μB per formula unit
density of states at the Fermi level	4.82	states/eV/f.u.
volume	83.69	Å³/f.u.
space-group type	I4_1/amd
ΔE_f	0.963	eV/atom
raw total energy	-8.172	eV/atom
ρ	5.73	g cm⁻³
crystal system	tetragonal

=====

First-principles (PBE) data for a relaxed CeYBiSe2 crystal, as listed in Alexandria via LeMat-Bulk.

a b c (Å): 4.576 4.576 7.818
angles (deg): 107.02 107.02 90.00
Last column: magnetic moment on the atom in μB.
Sites, in units of the cell vectors:
1 Bi 0.495 0.495 0.990  -0.06
2 Ce 0.871 0.871 0.742  0.34
3 Y 0.136 0.136 0.272  -0.01
4 Se 0.249 0.749 0.498  -0.02
5 Se 0.749 0.249 0.498  -0.02

Values from the calculation:
spin magnetization	0.205	μB per formula unit
density of states at the Fermi level	3.72	states/eV/f.u.
volume	149.05	Å³/f.u.
space-group type	I4mm
raw total energy	-5.762	eV/atom
ρ	6.64	g cm⁻³
crystal system	tetragonal
raw formation energy	-1.11	eV per atom

=====

First-principles (PBE) data for a relaxed Ce12TmTh7 crystal, as listed in Alexandria via LeMat-Bulk.

a b c (Å): 9.576 9.576 9.576
angles (deg): 109.47 109.47 109.47
Last column: magnetic moment on the atom in μB.
Sites, in units of the cell vectors:
1 Th 0.500 0.500 0.500  0.34
2 Th 0.000 0.000 0.500  0.34
3 Tm 0.000 0.000 0.000  0.03
4 Ce 0.298 0.203 0.502  0.66
5 Th 0.500 0.000 0.000  0.34
6 Ce 0.095 0.298 0.797  0.66
7 Th 0.500 0.000 0.500  0.43
8 Th 0.000 0.500 0.500  0.43
9 Ce 0.797 0.095 0.298  0.66
10 Ce 0.203 0.502 0.298  0.66
11 Th 0.500 0.500 0.000  0.43
12 Ce 0.797 0.498 0.702  0.66
13 Ce 0.905 0.702 0.203  0.66
14 Ce 0.298 0.797 0.095  0.66
15 Ce 0.702 0.797 0.498  0.66
16 Ce 0.702 0.203 0.905  0.66
17 Th 0.000 0.500 0.000  0.34
18 Ce 0.498 0.702 0.797  0.66
19 Ce 0.203 0.905 0.702  0.66
20 Ce 0.502 0.298 0.203  0.66

Values from the calculation:
spin magnetization	13.156	μB per formula unit
density of states at the Fermi level	71.71	states/eV/f.u.
volume	676.02	Å³/f.u.
space-group type	Im-3
ΔE_f	0.819	eV/atom
raw total energy	-5.562	eV/atom
ρ	8.53	g cm⁻³
crystal system	cubic

=====

First-principles (PBE) data for a relaxed Dy2Sc2Bi2C crystal, as listed in Alexandria via LeMat-Bulk.

a b c (Å): 4.571 4.571 8.608
angles (deg): 105.40 105.40 90.00
Last column: magnetic moment on the atom in μB.
Sites, in units of the cell vectors:
1 Dy 0.156 0.156 0.312  0.09
2 Bi 0.641 0.641 0.281  -0.01
3 Bi 0.359 0.359 0.719  -0.01
4 Dy 0.844 0.844 0.688  0.09
5 Sc 0.500 0.000 0.000  0.12
6 Sc 0.000 0.500 0.000  0.12
7 C 0.000 0.000 0.000  -0.01

Values from the calculation:
spin magnetization	0.625	μB per formula unit
density of states at the Fermi level	7.19	states/eV/f.u.
volume	166.67	Å³/f.u.
space-group type	I4/mmm
ΔE_f	-0.750	eV/atom
raw total energy	-6.300	eV/atom
ρ	8.42	g cm⁻³
crystal system	tetragonal